SrTiCd2: optimized geometry, PBE.

Values from the calculation:
size of the total moment = 0.645 μB/atom
V = 32.4 Å³ per atom
Fermi-level density of states = 3.979 states/eV/f.u.
VASP energy = -19.38 eV/cell
ΔE_f = 429 meV/atom

The structure in extended XYZ format:
```
8
Lattice="5.094 0.000 0.000 0.000 5.094 0.000 2.547 2.547 9.995" Properties=species:S:1:pos:R:3 pbc="T T T"
Ti 2.547 2.547 0.000
Ti 2.547 5.094 4.997
Cd 1.871 3.820 2.499
Sr 5.094 2.547 4.997
Cd 3.820 4.418 7.496
Cd 6.367 5.769 7.496
Sr 0.000 0.000 0.000
Cd 3.223 1.273 2.499
```